Compound: K8Na2Hg
Source: the Alexandria database
Functional: PBE
Structure: relaxed

Lattice parameters (Å, degrees): 22.5757 6.6790 8.9243 90.00 108.78 90.00
Space group C2/m (No. 12)
Inequivalent atoms, fractional coordinates:
K (0.0161, 0.0000, 0.2850) [4 per cell]
K (0.0940, 0.5000, 0.9262) [4 per cell]
K (0.1506, 0.5000, 0.4511) [4 per cell]
K (0.1999, 0.0000, 0.7768) [4 per cell]
Na (0.1813, 0.0000, 0.2063) [4 per cell]
Hg (0.0000, 0.5000, 0.5000) [2 per cell]

Values from the calculation:
Electronic total energy, eV per cell: -24.037
DOS at the Fermi energy, states/eV/f.u.: 7.97
Volume, Å³ per cell: 1274.0
Calculated formation energy, eV per atom: -0.027